Density functional theory data (GGA-PBE) for a relaxed Sc2CrRh crystal.

Results
V	17.7	A^3/atom
energy of formation from the pure elements	-25	kJ per mole of atoms
ρ	5.7	Mg/m³
offset from the most stable computed form	0.117	eV per atom

```
data_Sc2CrRh
_chemical_formula_sum 'Sc4 Cr2 Rh2'
_space_group_name_H-M_alt 'I m m 2'
_space_group_IT_number 44
_cell_length_a 3.247
_cell_length_b 4.515
_cell_length_c 9.658
_cell_angle_alpha 90.00
_cell_angle_beta 90.00
_cell_angle_gamma 90.00
loop_
_space_group_symop_operation_xyz
'x,y,z'
'-x,-y,z'
'-x,y,z'
'x,-y,z'
'x+1/2,y+1/2,z+1/2'
'-x+1/2,-y+1/2,z+1/2'
'-x+1/2,y+1/2,z+1/2'
'x+1/2,-y+1/2,z+1/2'
loop_
_atom_site_label
_atom_site_type_symbol
_atom_site_fract_x
_atom_site_fract_y
_atom_site_fract_z
Sc1 Sc 0.000 0.000 0.000
Sc2 Sc 0.000 0.500 0.221
Cr1 Cr 0.000 0.000 0.450
Rh1 Rh 0.000 0.500 0.732
```